Entry 1:
Below is a relaxed structure of P2HS2, with properties calculated at the PBE level.

Cell: 4.5837 4.5837 3.1787 Å, 90.00 90.00 90.00°
Fractional positions:
P 0.0000 0.0000 0.0000
P 0.5000 0.5000 0.0000
H 0.0000 0.0000 0.5000
S 0.0000 0.5000 0.5000
S 0.5000 0.0000 0.5000

## Properties
Energy above the most stable polymorph in this dataset   0.000 eV per atom
DOS(E_F)   0.158 states/eV/atom


Entry 2:
Below is a relaxed structure of RbCrRu2, with properties calculated at the PBE level.

Cell: 8.2953 8.2953 8.2953 Å, 142.80 142.80 53.63°
Fractional positions:
Rb 0.3750 0.6250 0.7500
Rb 0.6250 0.3750 0.2500
Cr 0.1250 0.8750 0.2500
Cr 0.8750 0.1250 0.7500
Ru 0.0000 0.0000 0.0000
Ru 0.0000 0.0000 0.5000
Ru 0.0000 0.5000 0.0000
Ru 0.5000 0.0000 0.5000

## Properties
Energy above the most stable polymorph in this dataset   0.000 eV per atom
Energy of formation from the pure elements   143.32 kJ per mole of atoms
DOS(E_F)   1.830 states/eV/atom


Among the records above, which one has the highest DOS(E_F)? RbCrRu2


What is the DOS(E_F) in the second record? 1.830 states/eV/atom


Please write out number 2 again, unchanged.
Below is a relaxed structure of RbCrRu2, with properties calculated at the PBE level.

Cell: 8.2953 8.2953 8.2953 Å, 142.80 142.80 53.63°
Fractional positions:
Rb 0.3750 0.6250 0.7500
Rb 0.6250 0.3750 0.2500
Cr 0.1250 0.8750 0.2500
Cr 0.8750 0.1250 0.7500
Ru 0.0000 0.0000 0.0000
Ru 0.0000 0.0000 0.5000
Ru 0.0000 0.5000 0.0000
Ru 0.5000 0.0000 0.5000

## Properties
Energy above the most stable polymorph in this dataset   0.000 eV per atom
Energy of formation from the pure elements   143.32 kJ per mole of atoms
DOS(E_F)   1.830 states/eV/atom